(1)
Crystalline Ta2TlZn at its relaxed geometry. Source: the Alexandria database, functional GGA-PBE.

For the energy of formation, the calculation gives 0.31 eV/atom.

The structure belongs to space group P4mm (No. 99); the cell edges are 3.549, 3.549 and 6.125 Å and the angles 90.00°, 90.00° and 90.00°. Symmetry generates all atoms from Ta at (0.000, 0.000, 0.000), Ta at (0.500, 0.500, 0.194), Tl at (0.000, 0.000, 0.500) and Zn at (0.500, 0.500, 0.751).

=====

(2)
Crystalline CeTaCo2P2 at its relaxed geometry. Source: the Alexandria database, functional GGA-PBE.

For the energy of formation, the calculation gives -0.86 eV/atom.

The structure belongs to space group P-3m1 (No. 164); the cell edges are 3.8174, 3.8174 and 7.2752 Å and the angles 90.00°, 90.00° and 120.00°. Symmetry generates all atoms from Ce at (0.0000, 0.0000, 0.0000), Ta at (0.0000, 0.0000, 0.5000), Co at (0.3333, 0.6667, 0.6966) and P at (0.3333, 0.6667, 0.2648).

=====

(3)
Crystalline TmBeCu at its relaxed geometry. Source: the Alexandria database, functional GGA-PBE.

For the energy of formation, the calculation gives -0.14 eV/atom.

The structure belongs to space group P-6m2 (No. 187); the cell edges are 4.0360, 4.0360 and 3.5711 Å and the angles 90.00°, 90.00° and 120.00°. Symmetry generates all atoms from Tm at (0.0000, 0.0000, 0.0000), Be at (0.6667, 0.3333, 0.5000) and Cu at (0.3333, 0.6667, 0.5000).

=====

(4)
Crystalline Ta2NiP at its relaxed geometry. Source: the Alexandria database, functional GGA-PBE.

For the energy of formation, the calculation gives -0.24 eV/atom.

The structure belongs to space group Cmm2 (No. 35); the cell edges are 3.645, 4.645 and 7.105 Å and the angles 90.00°, 90.00° and 90.00°. Symmetry generates all atoms from Ta at (0.000, 0.000, 0.000), Ta at (0.000, 0.500, 0.315), Ni at (0.000, 0.000, 0.581) and P at (0.000, 0.500, 0.754).

=====

(5)
Crystalline RbNaZnIn2 at its relaxed geometry. Source: the Alexandria database, functional GGA-PBE.

For the energy of formation, the calculation gives 0.05 eV/atom.

The structure belongs to space group P4/mmm (No. 123); the cell edges are 5.380, 5.380 and 5.825 Å and the angles 90.00°, 90.00° and 90.00°. Symmetry generates all atoms from Rb at (0.000, 0.000, 0.000), Na at (0.500, 0.500, 0.000), Zn at (0.500, 0.500, 0.500) and In at (0.000, 0.500, 0.500).

=====

(6)
Crystalline Th6InAs3Se2 at its relaxed geometry. Source: the Alexandria database, functional GGA-PBE.

Its uncorrected formation energy is -14.5 eV per formula unit.

The structure belongs to space group C2/m (No. 12); the cell edges are 18.733, 4.282 and 8.596 Å and the angles 90.00°, 103.85° and 90.00°. Symmetry generates all atoms from Th at (0.000, 0.000, 0.236), Th at (0.164, 0.500, 0.086), Th at (0.172, 0.500, 0.578), In at (0.000, 0.500, 0.500), As at (0.000, 0.500, 0.000), As at (0.165, 0.000, 0.330) and Se at (0.169, 0.000, 0.833).

=====

| no. | DFT total energy (eV/cell) |
| --- | --- |
| 1 | -26.12 |
| 2 | -47.96 |
| 3 | -12.73 |
| 4 | -71.67 |
| 5 | -8.78 |
| 6 | -165.35 |